(1)
First-principles (PBE) data for a relaxed RbNa2CdI6 crystal, as listed in Alexandria.

a = 11.6112 Å, b = 11.6112 Å, c = 9.2023 Å
α = 108.22°, β = 108.22°, γ = 100.22°
With the nearest neighbours (Å) after each atom.
Fractional positions:
Rb  0.1074  0.8926  0.7500  6 I 3.73-3.77
Rb  0.8926  0.1074  0.2500  6 I 3.73-3.77
Na  0.2804  0.4732  0.9004  5 I 3.08-3.34
Na  0.4732  0.2804  0.4004  5 I 3.08-3.34
Na  0.5268  0.7196  0.5996  5 I 3.08-3.34
Na  0.7196  0.5268  0.0996  5 I 3.08-3.34
Cd  0.1571  0.8429  0.2500  4 I 2.81-2.87
Cd  0.8429  0.1571  0.7500  4 I 2.81-2.87
I  0.0785  0.1996  0.7062  1 Cd 2.87, 1 Na 3.16
I  0.1188  0.6549  0.9440  1 Cd 2.81, 1 Na 3.08
I  0.1996  0.0785  0.2062  1 Cd 2.87, 1 Na 3.16
I  0.3317  0.4564  0.5684  3 Na 3.17-3.34, 1 I 3.29
I  0.3451  0.8812  0.5560  1 Cd 2.81, 1 Na 3.08
I  0.4564  0.3317  0.0684  3 Na 3.17-3.34, 1 I 3.29
I  0.5436  0.6683  0.9316  3 Na 3.17-3.34, 1 I 3.29
I  0.6549  0.1188  0.4440  1 Cd 2.81, 1 Na 3.08
I  0.6683  0.5436  0.4316  3 Na 3.17-3.34, 1 I 3.29
I  0.8004  0.9215  0.7938  1 Cd 2.87, 1 Na 3.16
I  0.8812  0.3451  0.0560  1 Cd 2.81, 1 Na 3.08
I  0.9215  0.8004  0.2938  1 Cd 2.87, 1 Na 3.16

Output
Its space group is C2/c (15). The crystal system is monoclinic. The value obtained for the spin magnetization is 1.01 μB per formula unit. Its formation energy from raw total energies is -905 meV/atom. The total energy comes out at -45.7 eV for the cell shown.

(2)
First-principles (PBE) data for a relaxed Rb2NaCdI5 crystal, as listed in Alexandria.

a = 11.4643 Å, b = 11.4643 Å, c = 15.3436 Å
α = 90.00°, β = 90.00°, γ = 156.32°
With the nearest neighbours (Å) after each atom.
Fractional positions:
Rb  0.1304  0.8696  0.5000  6 I 3.68-3.87
Rb  0.1322  0.8678  0.8662  7 I 3.66-3.97
Rb  0.8678  0.1322  0.3662  7 I 3.66-3.97
Rb  0.8696  0.1304  0.0000  6 I 3.68-3.87
Na  0.2155  0.7845  0.2137  5 I 3.13-3.40
Na  0.7845  0.2155  0.7137  5 I 3.13-3.40
Cd  0.4359  0.5641  0.6095  4 I 2.80-2.88
Cd  0.5641  0.4359  0.1095  4 I 2.80-2.88
I  0.0426  0.9574  0.2137  2 Cd 2.88
I  0.2970  0.7030  0.8491  2 Na 3.15
I  0.3145  0.6855  0.5594  1 Cd 2.83
I  0.3535  0.6465  0.1844  1 Na 3.13
I  0.4975  0.5025  0.4510  1 Cd 2.80
I  0.5025  0.4975  0.9510  1 Cd 2.80
I  0.6465  0.3535  0.6844  1 Na 3.13
I  0.6855  0.3145  0.0594  1 Cd 2.83
I  0.7030  0.2970  0.3491  2 Na 3.15
I  0.9574  0.0426  0.7137  2 Cd 2.88

Output
Its space group is Cmc2_1 (36). The crystal system is orthorhombic. The value obtained for the spin magnetization is 0.00 μB per formula unit. Its formation energy from raw total energies is -1139 meV/atom. The total energy comes out at -44.3 eV for the cell shown.

(3)
First-principles (PBE) data for a relaxed NaCdSb2I crystal, as listed in Alexandria.

a = 5.6122 Å, b = 5.6122 Å, c = 5.7145 Å
α = 90.00°, β = 90.00°, γ = 90.00°
With the nearest neighbours (Å) after each atom.
Fractional positions:
Na  0.0000  0.0000  0.0000  4 Sb 2.81, 2 I 2.86
Cd  0.5000  0.5000  0.5000  4 I 3.97, 8 Sb 4.00
Sb  0.0000  0.5000  0.0000  2 Na 2.81
Sb  0.5000  0.0000  0.0000  2 Na 2.81
I  0.0000  0.0000  0.5000  2 Na 2.86

Output
Its space group is P4/mmm (123). The crystal system is tetragonal. The value obtained for the excess energy over the best structure of this formula in the dataset is 368 meV per atom. The value obtained for the spin magnetization is 1.13 μB per formula unit. Its formation energy from raw total energies is 569 meV/atom. The total energy comes out at -9.2 eV for the cell shown.

(4)
First-principles (PBE) data for a relaxed NaCdSbI2 crystal, as listed in Alexandria.

a = 6.2264 Å, b = 6.2264 Å, c = 5.5931 Å
α = 90.00°, β = 90.00°, γ = 90.00°
With the nearest neighbours (Å) after each atom.
Fractional positions:
Na  0.0000  0.0000  0.0000  8 I 4.18, 4 Sb 4.40
Cd  0.5000  0.5000  0.5000  2 Sb 2.80, 4 I 3.11
Sb  0.5000  0.5000  0.0000  2 Cd 2.80
I  0.0000  0.5000  0.5000  2 Cd 3.11
I  0.5000  0.0000  0.5000  2 Cd 3.11

Output
Its space group is P4/mmm (123). The crystal system is tetragonal. The value obtained for the excess energy over the best structure of this formula in the dataset is 0 meV per atom. The value obtained for the spin magnetization is 1.89 μB per formula unit. Its formation energy from raw total energies is -136 meV/atom. The total energy comes out at -10.1 eV for the cell shown.

(5)
First-principles (PBE) data for a relaxed NaCdSbI2 crystal, as listed in Alexandria.

a = 5.8121 Å, b = 5.8121 Å, c = 6.1892 Å
α = 90.00°, β = 90.00°, γ = 90.00°
With the nearest neighbours (Å) after each atom.
Fractional positions:
Na  0.0000  0.0000  0.0000  4 I 2.91, 2 Sb 3.09
Cd  0.5000  0.5000  0.5000  4 Sb 4.11, 8 I 4.25
Sb  0.0000  0.0000  0.5000  2 Na 3.09
I  0.0000  0.5000  0.0000  2 Na 2.91
I  0.5000  0.0000  0.0000  2 Na 2.91

Output
Its space group is P4/mmm (123). The crystal system is tetragonal. The value obtained for the excess energy over the best structure of this formula in the dataset is 348 meV per atom. The value obtained for the spin magnetization is 2.13 μB per formula unit. Its formation energy from raw total energies is 211 meV/atom. The total energy comes out at -8.4 eV for the cell shown.

(6)
First-principles (PBE) data for a relaxed NaCdSb2I crystal, as listed in Alexandria.

a = 5.5398 Å, b = 5.5398 Å, c = 6.5832 Å
α = 90.00°, β = 90.00°, γ = 90.00°
With the nearest neighbours (Å) after each atom.
Fractional positions:
Na  0.0000  0.0000  0.0000  4 I 3.92, 8 Sb 4.30
Cd  0.5000  0.5000  0.5000  4 Sb 2.77
Sb  0.0000  0.5000  0.5000  2 Cd 2.77
Sb  0.5000  0.0000  0.5000  2 Cd 2.77
I  0.5000  0.5000  0.0000  2 Cd 3.29

Output
Its space group is P4/mmm (123). The crystal system is tetragonal. The value obtained for the excess energy over the best structure of this formula in the dataset is 0 meV per atom. The value obtained for the spin magnetization is 1.65 μB per formula unit. Its formation energy from raw total energies is 201 meV/atom. The total energy comes out at -11.0 eV for the cell shown.

The highest spin magnetization belongs to which entry? number 5